## LiSiAu (PBE)

Data for a geometry-optimized LiSiAu structure.

Computed properties:
DOS(E_F)   0.6 states/eV/cell
Raw total energy   -3.76 eV per atom
SG   Imm2 (44)

Unit cell a=4.642 b=4.642 c=4.642 alpha=143.47 beta=130.01 gamma=63.48
Positions (direct):
Li1 0.000 0.000 0.000
Si1 0.669 0.669 0.000
Au1 0.335 0.335 0.000

***

## Li4Si2Au5 (PBE)

Data for a geometry-optimized Li4Si2Au5 structure.

Computed properties:
DOS(E_F)   3.0 states/eV/cell
Raw total energy   -3.52 eV per atom
SG   P2/m (10)

Unit cell a=6.896 b=2.906 c=8.801 alpha=90.00 beta=93.84 gamma=90.00
Positions (direct):
Li1 0.173 0.000 0.392
Li2 0.285 0.000 0.934
Li3 0.715 0.000 0.066
Li4 0.827 0.000 0.608
Si1 0.062 0.500 0.130
Si2 0.938 0.500 0.870
Au1 0.178 0.500 0.673
Au2 0.420 0.500 0.181
Au3 0.500 0.500 0.500
Au4 0.580 0.500 0.819
Au5 0.822 0.500 0.327

***

## Li6SiAu (PBE)

Data for a geometry-optimized Li6SiAu structure.

Computed properties:
DOS(E_F)   3.2 states/eV/cell
E above lowest polymorph   0.046 eV/atom
Raw total energy   -2.76 eV per atom
SG   C2/m (12)

Unit cell a=5.029 b=5.029 c=5.538 alpha=96.62 beta=96.62 gamma=115.48
Positions (direct):
Li1 0.082 0.592 0.727
Li2 0.247 0.247 0.983
Li3 0.408 0.918 0.273
Li4 0.592 0.082 0.727
Li5 0.753 0.753 0.017
Li6 0.918 0.408 0.273
Si1 0.000 0.000 0.500
Au1 0.500 0.500 0.500

***

## Li2SiAu (PBE)

Data for a geometry-optimized Li2SiAu structure.

Computed properties:
DOS(E_F)   0.7 states/eV/cell
Raw total energy   -3.47 eV per atom
SG   Pmm2 (25)

Unit cell a=2.878 b=4.359 c=4.777 alpha=90.00 beta=90.00 gamma=90.00
Positions (direct):
Li1 0.000 0.000 0.000
Li2 0.000 0.500 0.314
Si1 0.500 0.500 0.806
Au1 0.500 0.000 0.515

***

## LiSiAu (PBE)

Data for a geometry-optimized LiSiAu structure.

Computed properties:
DOS(E_F)   1.5 states/eV/cell
Raw total energy   -3.88 eV per atom
SG   Pnma (62)

Unit cell a=6.452 b=3.955 c=7.712 alpha=90.00 beta=90.00 gamma=90.00
Positions (direct):
Li1 0.028 0.250 0.145
Li2 0.472 0.750 0.645
Li3 0.528 0.250 0.355
Li4 0.972 0.750 0.855
Si1 0.145 0.250 0.532
Si2 0.355 0.750 0.032
Si3 0.645 0.250 0.968
Si4 0.855 0.750 0.468
Au1 0.215 0.750 0.328
Au2 0.285 0.250 0.828
Au3 0.715 0.750 0.172
Au4 0.785 0.250 0.672

***

## Li8SiAu2 (PBE)

Data for a geometry-optimized Li8SiAu2 structure.

Computed properties:
DOS(E_F)   2.7 states/eV/cell
E above lowest polymorph   0.015 eV/atom
Raw total energy   -2.80 eV per atom
SG   P1 (1)

Unit cell a=4.499 b=5.982 c=7.745 alpha=112.68 beta=106.74 gamma=90.04
Positions (direct):
Li1 0.000 0.000 0.000
Li2 0.018 0.510 0.039
Li3 0.235 0.050 0.465
Li4 0.333 0.798 0.668
Li5 0.434 0.254 0.870
Li6 0.651 0.140 0.298
Li7 0.669 0.668 0.336
Li8 0.832 0.515 0.668
Si1 0.834 0.057 0.668
Au1 0.175 0.407 0.345
Au2 0.494 0.730 0.991

***

## Li3SiAu6 (PBE)

Data for a geometry-optimized Li3SiAu6 structure.

Computed properties:
DOS(E_F)   4.4 states/eV/cell
E above lowest polymorph   0.019 eV/atom
Raw total energy   -3.39 eV per atom
SG   Cmc2_1 (36)

Unit cell a=9.006 b=9.006 c=4.918 alpha=90.00 beta=90.00 gamma=116.06
Positions (direct):
Li1 0.108 0.892 0.500
Li2 0.240 0.416 0.041
Li3 0.416 0.240 0.541
Li4 0.584 0.760 0.041
Li5 0.760 0.584 0.541
Li6 0.892 0.108 0.000
Si1 0.293 0.707 0.341
Si2 0.707 0.293 0.841
Au1 0.005 0.575 0.207
Au2 0.108 0.201 0.521
Au3 0.201 0.108 0.021
Au4 0.276 0.724 0.828
Au5 0.425 0.995 0.207
Au6 0.446 0.554 0.507
Au7 0.554 0.446 0.007
Au8 0.575 0.005 0.707
Au9 0.724 0.276 0.328
Au10 0.799 0.892 0.521
Au11 0.892 0.799 0.021
Au12 0.995 0.425 0.707

***

## LiSiAu2 (PBE)

Data for a geometry-optimized LiSiAu2 structure.

Computed properties:
DOS(E_F)   1.5 states/eV/cell
Raw total energy   -3.71 eV per atom
SG   Pm (6)

Unit cell a=2.937 b=4.365 c=5.278 alpha=90.00 beta=104.61 gamma=90.00
Positions (direct):
Li1 0.000 0.000 0.000
Si1 0.597 0.500 0.237
Au1 0.384 0.500 0.754
Au2 0.721 0.000 0.463